1.
This record from Alexandria describes a relaxed Al3HgO crystal. The functional is GGA-PBEsol.

Cell lengths 4.884, 4.884, 4.884 Å; angles 90.00, 90.00, 90.00 degrees
Element x y z (fractional)
O1 0.500 0.500 0.500
Hg1 0.000 0.000 0.000
Al1 0.000 0.500 0.000
Al2 0.000 0.000 0.500
Al3 0.500 0.000 0.000

## Properties
Space group: No. 221
Total magnetic moment in Bohr magnetons per cell: 0.00
Volume in Å³/cell: 117
E_form (uncorrected) in meV/atom: 853
E_tot in eV/atom: -2.76

***

2.
This record from Alexandria describes a relaxed AlHg3O crystal. The functional is GGA-PBEsol.

Cell lengths 5.124, 5.124, 5.124 Å; angles 90.00, 90.00, 90.00 degrees
Each line ends with the local moment (μB).
Element x y z (fractional)
O1 0.500 0.500 0.500  1.02
Hg1 0.000 0.000 0.500  0.01
Hg2 0.000 0.500 0.000  0.01
Hg3 0.500 0.000 0.000  0.01
Al1 0.000 0.000 0.000  0.02

## Properties
Space group: No. 221
Total magnetic moment in Bohr magnetons per cell: 1.29
Volume in Å³/cell: 135
E_form (uncorrected) in meV/atom: 593
E_tot in eV/atom: -1.62

***

3.
This record from Alexandria describes a relaxed Ta2AlHgO crystal. The functional is GGA-PBEsol.

Cell lengths 4.177, 4.177, 4.413 Å; angles 90.00, 90.00, 90.00 degrees
Element x y z (fractional)
Hg1 0.500 0.500 0.500
O1 0.000 0.000 0.000
Ta1 0.500 0.000 0.000
Ta2 0.000 0.500 0.000
Al1 0.000 0.000 0.500

## Properties
Space group: No. 123
Total magnetic moment in Bohr magnetons per cell: 0.00
Volume in Å³/cell: 77
E_form (uncorrected) in meV/atom: -340
E_tot in eV/atom: -7.34

***

4.
This record from Alexandria describes a relaxed Al2TcHgO crystal. The functional is GGA-PBEsol.

Cell lengths 3.688, 4.999, 4.999 Å; angles 90.00, 90.00, 90.00 degrees
Element x y z (fractional)
O1 0.500 0.000 0.000
Tc1 0.000 0.000 0.000
Al1 0.000 0.000 0.500
Al2 0.000 0.500 0.000
Hg1 0.500 0.500 0.500

## Properties
Space group: No. 123
Total magnetic moment in Bohr magnetons per cell: 0.00
Volume in Å³/cell: 92
E_form (uncorrected) in meV/atom: -131
E_tot in eV/atom: -5.18

***

5.
This record from Alexandria describes a relaxed AlHgOs crystal. The functional is GGA-PBEsol.

Cell lengths 4.192, 4.192, 4.192 Å; angles 60.00, 60.00, 60.00 degrees
Element x y z (fractional)
Al1 0.250 0.250 0.250
Os1 0.500 0.500 0.500
Hg1 0.000 0.000 0.000

## Properties
Space group: No. 216
Total magnetic moment in Bohr magnetons per cell: 0.00
Volume in Å³/cell: 52
DFT formation energy in eV per atom: 0.51
E_tot in eV/atom: -5.11

***

6.
This record from Alexandria describes a relaxed AlHgP crystal. The functional is GGA-PBEsol.

Cell lengths 4.455, 4.455, 4.455 Å; angles 60.00, 60.00, 60.00 degrees
Element x y z (fractional)
Al1 0.000 0.000 0.000
P1 0.250 0.250 0.250
Hg1 0.500 0.500 0.500

## Properties
Space group: No. 216
Total magnetic moment in Bohr magnetons per cell: 0.00
Volume in Å³/cell: 63
DFT formation energy in eV per atom: 0.25
E_tot in eV/atom: -3.23